(1)
Computed, not measured: an optimized crystal structure of GaTc2Ir at the PBE level of DFT.

Calculated values
Volume: 21.6 Å³ per atom
Calculated formation energy: 1110 meV/atom
Density of states at the Fermi level: 13.7 states/eV/cell

Cell lengths 5.875, 5.875, 10.013 Å; angles 90.00, 90.00, 90.00 degrees
Atoms (fractional coordinates):
Ga 0.000 0.000 0.000
Ga 0.000 0.500 0.250
Ga 0.500 0.000 0.750
Ga 0.500 0.500 0.500
Tc 0.236 0.250 0.625
Tc 0.250 0.736 0.875
Tc 0.250 0.764 0.375
Tc 0.264 0.250 0.125
Tc 0.736 0.750 0.125
Tc 0.750 0.236 0.375
Tc 0.750 0.264 0.875
Tc 0.764 0.750 0.625
Ir 0.000 0.000 0.500
Ir 0.000 0.500 0.750
Ir 0.500 0.000 0.250
Ir 0.500 0.500 0.000

---

(2)
Computed, not measured: an optimized crystal structure of KCa2Re at the PBE level of DFT.

Calculated values
Volume: 29.7 Å³ per atom
Calculated formation energy: 1178 meV/atom
Density of states at the Fermi level: 10.8 states/eV/cell

Cell lengths 4.930, 4.930, 9.780 Å; angles 90.00, 90.00, 90.00 degrees
Atoms (fractional coordinates):
K 0.000 0.000 0.000
K 0.500 0.500 0.500
Ca 0.000 0.000 0.500
Ca 0.000 0.500 0.250
Ca 0.500 0.000 0.750
Ca 0.500 0.500 0.000
Re 0.000 0.500 0.750
Re 0.500 0.000 0.250

---

(3)
Computed, not measured: an optimized crystal structure of Zn2In2Co at the PBE level of DFT.

Calculated values
Volume: 18.3 Å³ per atom
Calculated formation energy: 289 meV/atom
Density of states at the Fermi level: 5.7 states/eV/cell

Cell lengths 6.627, 6.627, 4.177 Å; angles 90.00, 90.00, 90.00 degrees
Atoms (fractional coordinates):
Zn 0.141 0.359 0.000
Zn 0.359 0.859 0.000
Zn 0.641 0.141 0.000
Zn 0.859 0.641 0.000
In 0.173 0.673 0.500
In 0.327 0.173 0.500
In 0.673 0.827 0.500
In 0.827 0.327 0.500
Co 0.000 0.000 0.000
Co 0.500 0.500 0.000